No. 1
CeLu (GGA-PBE, relaxed); SG = Pm-3m (221); magnetic moment = 0.6 μB/cell; ΔE_f = 0.179 eV per atom; N(E_F) = 6.135 states/eV/f.u.; distance to the lowest polymorph of the same formula = 2.50 kcal/mol of atoms
1.0
3.933 0.000 0.000
0.000 3.933 0.000
0.000 0.000 3.933
Ce Lu
1 1
Direct
0.000 0.000 0.000
0.500 0.500 0.500

***

No. 2
CeLu3 (GGA-PBE, relaxed); SG = Pm-3m (221); magnetic moment = 0.5 μB/cell; ΔE_f = 0.067 eV per atom; N(E_F) = 7.329 states/eV/f.u.; distance to the lowest polymorph of the same formula = 0.28 kcal/mol of atoms
1.0
4.903 0.000 0.000
0.000 4.903 0.000
0.000 0.000 4.903
Ce Lu
1 3
Direct
0.000 0.000 0.000
0.000 0.500 0.500
0.500 0.000 0.500
0.500 0.500 0.000

***

No. 3
Ce2LuMg (GGA-PBE, relaxed); SG = P4/mmm (123); magnetic moment = 2.1 μB/cell; ΔE_f = 0.107 eV per atom; N(E_F) = 11.863 states/eV/f.u.; distance to the lowest polymorph of the same formula = 0.32 kcal/mol of atoms
1.0
4.678 0.000 0.000
0.000 4.678 0.000
0.000 0.000 5.097
Ce Lu Mg
2 1 1
Direct
0.000 0.500 0.000
0.500 0.000 0.000
0.000 0.000 0.500
0.500 0.500 0.500